K3Na2LiTeO6 | PBE | optimized geometry

Uncorrected formation energy, meV per atom: -1519
DOS(E_F), states/eV per atom: 0.0000
Spin magnetization, μB per atom: 0.00

Unit cell a=7.6489 b=7.6489 c=6.8803 alpha=87.72 beta=87.72 gamma=104.16
Fractional positions:
O  0.1645  0.4874  0.5039
Li  0.4726  0.0315  0.2524
Na  0.4289  0.8602  0.9060
K  0.7028  0.7834  0.2569
O  0.0079  0.7659  0.4003
O  0.4874  0.1645  0.0039
Na  0.6110  0.0727  0.6033
K  0.1072  0.0142  0.0679
O  0.7447  0.4801  0.0996
K  0.3781  0.4062  0.2278
K  0.7834  0.7028  0.7569
O  0.3461  0.7672  0.2283
Te  0.7567  0.2435  0.0015
Na  0.8602  0.4289  0.4060
O  0.7426  0.1420  0.2748
Na  0.0727  0.6110  0.1033
O  0.4801  0.7447  0.5996
O  0.0269  0.3225  0.9894
O  0.3225  0.0269  0.4894
K  0.4062  0.3781  0.7278
K  0.0142  0.1072  0.5679
Te  0.2435  0.7567  0.5015
Li  0.0315  0.4726  0.7524
O  0.1420  0.7426  0.7748
O  0.7672  0.3461  0.7283
O  0.7659  0.0079  0.9003